Below is crystalline La2PmGe2I2 at its relaxed geometry, with properties calculated at the GGA-PBE level.

Cell lengths 5.4931, 5.4931, 16.5185 Å; angles 90.00, 90.00, 90.00 degrees
Space group I4/mmm (No. 139)
One atom of each set of equivalent atoms:
La 0.0000 0.0000 0.1044 (multiplicity 4)
Pm 0.0000 0.0000 0.5000 (multiplicity 2)
Ge 0.0000 0.5000 0.0000 (multiplicity 4)
I 0.0000 0.0000 0.3029 (multiplicity 4)

Below is crystalline LaPrGeI at its relaxed geometry, with properties calculated at the GGA-PBE level.

Cell lengths 4.3773, 4.3773, 23.9847 Å; angles 90.00, 90.00, 120.00 degrees
Space group R3m (No. 160, hexagonal axes)
One atom of each set of equivalent atoms:
La 0.0000 0.0000 0.0000 (multiplicity 3)
Pr 0.0000 0.0000 0.2001 (multiplicity 3)
Ge 0.0000 0.0000 0.6003 (multiplicity 3)
I 0.0000 0.0000 0.4328 (multiplicity 3)

Results for E_form (uncorrected): -0.838 -1.046 (in eV/atom, following the order of the records).